Entry 1:
Zr2CoOs: relaxed, PBE.

Cell lengths 6.5095, 6.5095, 6.5095 Å; angles 90.00, 90.00, 90.00 degrees
Element x y z (fractional)
Zr 0.2500 0.2500 0.2500
Zr 0.2500 0.2500 0.7500
Zr 0.2500 0.7500 0.2500
Zr 0.2500 0.7500 0.7500
Zr 0.7500 0.2500 0.2500
Zr 0.7500 0.2500 0.7500
Zr 0.7500 0.7500 0.2500
Zr 0.7500 0.7500 0.7500
Co 0.0000 0.0000 0.0000
Co 0.0000 0.5000 0.5000
Co 0.5000 0.0000 0.5000
Co 0.5000 0.5000 0.0000
Os 0.0000 0.0000 0.5000
Os 0.0000 0.5000 0.0000
Os 0.5000 0.0000 0.0000
Os 0.5000 0.5000 0.5000

Results
Spin magnetization, μB per formula unit: 1.0
V, Å³/atom: 17.24
Formation enthalpy at 0 K, meV/atom: -420.4
D(E_F), states/eV per atom: 0.377

Entry 2:
Zr3CoOs2: relaxed, PBE.

Cell lengths 7.3016, 7.3016, 6.5174 Å; angles 90.00, 90.00, 143.09 degrees
Element x y z (fractional)
Zr 0.0000 0.0000 0.2478
Zr 0.0000 0.0000 0.7522
Zr 0.3321 0.6679 0.2463
Zr 0.3321 0.6679 0.7537
Zr 0.6679 0.3321 0.2463
Zr 0.6679 0.3321 0.7537
Co 0.1665 0.8335 0.0000
Co 0.8335 0.1665 0.0000
Os 0.1664 0.8336 0.5000
Os 0.5000 0.5000 0.0000
Os 0.5000 0.5000 0.5000
Os 0.8336 0.1664 0.5000

Results
Spin magnetization, μB per formula unit: 1.0
V, Å³/atom: 17.39
Formation enthalpy at 0 K, meV/atom: -442.9
D(E_F), states/eV per atom: 0.502

Entry 3:
Zr4Co2Os: relaxed, PBE.

Cell lengths 7.6848, 7.6848, 7.6848 Å; angles 34.33, 34.33, 34.33 degrees
Element x y z (fractional)
Zr 0.1201 0.1201 0.1201
Zr 0.3711 0.3711 0.3711
Zr 0.6289 0.6289 0.6289
Zr 0.8799 0.8799 0.8799
Co 0.2480 0.2480 0.2480
Co 0.7520 0.7520 0.7520
Os 0.5000 0.5000 0.5000

Results
Spin magnetization, μB per formula unit: 0.0
V, Å³/atom: 18.39
Formation enthalpy at 0 K, meV/atom: -268.3
D(E_F), states/eV per atom: 0.628

Entry 4:
Zr2CoOs: relaxed, PBE.

Cell lengths 3.6188, 3.6188, 5.5652 Å; angles 90.00, 90.00, 90.00 degrees
Element x y z (fractional)
Zr 0.0000 0.0000 0.0000
Zr 0.5000 0.5000 0.3602
Co 0.0000 0.0000 0.4937
Os 0.5000 0.5000 0.8492

Results
Spin magnetization, μB per formula unit: 0.0
V, Å³/atom: 18.22
Formation enthalpy at 0 K, meV/atom: -13.2
D(E_F), states/eV per atom: 0.510

Entry 5:
ZrCo2Os: relaxed, PBE.

Cell lengths 5.4735, 7.2705, 2.7782 Å; angles 90.00, 90.00, 90.00 degrees
Element x y z (fractional)
Zr 0.0000 0.0000 0.0000
Zr 0.5000 0.5000 0.0000
Co 0.2500 0.2500 0.5000
Co 0.2500 0.7500 0.5000
Co 0.7500 0.2500 0.5000
Co 0.7500 0.7500 0.5000
Os 0.0000 0.5000 0.0000
Os 0.5000 0.0000 0.0000

Results
Spin magnetization, μB per formula unit: 0.0
V, Å³/atom: 13.82
Formation enthalpy at 0 K, meV/atom: 3.2
D(E_F), states/eV per atom: 1.161

Entry 6:
Zr5Co4Os: relaxed, PBE.

Cell lengths 3.2220, 3.2220, 16.0622 Å; angles 90.00, 90.00, 90.00 degrees
Element x y z (fractional)
Zr 0.0000 0.0000 0.0000
Zr 0.0000 0.0000 0.1972
Zr 0.0000 0.0000 0.3959
Zr 0.0000 0.0000 0.6041
Zr 0.0000 0.0000 0.8028
Co 0.5000 0.5000 0.0982
Co 0.5000 0.5000 0.2962
Co 0.5000 0.5000 0.7038
Co 0.5000 0.5000 0.9018
Os 0.5000 0.5000 0.5000

Results
Spin magnetization, μB per formula unit: 3.6
V, Å³/atom: 16.68
Formation enthalpy at 0 K, meV/atom: -324.5
D(E_F), states/eV per atom: 0.819

Entry 7:
Zr8Co2Os: relaxed, PBE.

Cell lengths 7.2018, 7.2018, 5.1414 Å; angles 99.72, 99.72, 117.61 degrees
Element x y z (fractional)
Zr 0.0891 0.3321 0.5724
Zr 0.2240 0.7760 0.0000
Zr 0.3321 0.0891 0.5724
Zr 0.3748 0.3748 0.1711
Zr 0.6252 0.6252 0.8289
Zr 0.6679 0.9109 0.4276
Zr 0.7760 0.2240 0.0000
Zr 0.9109 0.6679 0.4276
Co 0.2945 0.7055 0.5000
Co 0.7055 0.2945 0.5000
Os 0.0000 0.0000 0.0000

Results
Spin magnetization, μB per formula unit: 0.0
V, Å³/atom: 20.31
Formation enthalpy at 0 K, meV/atom: -99.2
D(E_F), states/eV per atom: 1.250

Entry 8:
ZrCo2Os: relaxed, PBE.

Cell lengths 3.8294, 3.8294, 17.5136 Å; angles 90.00, 90.00, 90.00 degrees
Element x y z (fractional)
Zr 0.0000 0.0000 0.0000
Zr 0.0000 0.5000 0.2500
Zr 0.5000 0.0000 0.7500
Zr 0.5000 0.5000 0.5000
Co 0.1823 0.2500 0.6250
Co 0.2500 0.6823 0.8750
Co 0.2500 0.8177 0.3750
Co 0.3177 0.2500 0.1250
Co 0.6823 0.7500 0.1250
Co 0.7500 0.1823 0.3750
Co 0.7500 0.3177 0.8750
Co 0.8177 0.7500 0.6250
Os 0.0000 0.0000 0.5000
Os 0.0000 0.5000 0.7500
Os 0.5000 0.0000 0.2500
Os 0.5000 0.5000 0.0000

Results
Spin magnetization, μB per formula unit: 2.1
V, Å³/atom: 16.05
Formation enthalpy at 0 K, meV/atom: 440.5
D(E_F), states/eV per atom: 1.270

Entry 9:
ZrCoOs: relaxed, PBE.

Cell lengths 2.8109, 2.8109, 11.6879 Å; angles 90.00, 90.00, 90.00 degrees
Element x y z (fractional)
Zr 0.0000 0.0000 0.0000
Zr 0.5000 0.5000 0.5000
Co 0.0000 0.0000 0.3207
Co 0.5000 0.5000 0.8207
Os 0.0000 0.0000 0.6918
Os 0.5000 0.5000 0.1918

Results
Spin magnetization, μB per formula unit: 0.6
V, Å³/atom: 15.39
Formation enthalpy at 0 K, meV/atom: 29.6
D(E_F), states/eV per atom: 1.067

Entry 10:
ZrCo2Os: relaxed, PBE.

Cell lengths 6.1301, 6.1301, 6.1301 Å; angles 90.00, 90.00, 90.00 degrees
Element x y z (fractional)
Zr 0.0000 0.0000 0.0000
Zr 0.0000 0.5000 0.5000
Zr 0.5000 0.0000 0.5000
Zr 0.5000 0.5000 0.0000
Co 0.2500 0.2500 0.2500
Co 0.2500 0.2500 0.7500
Co 0.2500 0.7500 0.2500
Co 0.2500 0.7500 0.7500
Co 0.7500 0.2500 0.2500
Co 0.7500 0.2500 0.7500
Co 0.7500 0.7500 0.2500
Co 0.7500 0.7500 0.7500
Os 0.0000 0.0000 0.5000
Os 0.0000 0.5000 0.0000
Os 0.5000 0.0000 0.0000
Os 0.5000 0.5000 0.5000

Results
Spin magnetization, μB per formula unit: 3.6
V, Å³/atom: 14.40
Formation enthalpy at 0 K, meV/atom: 17.0
D(E_F), states/eV per atom: 1.617

Entry 11:
ZrCo2Os: relaxed, PBE.

Cell lengths 2.7489, 2.7489, 26.5835 Å; angles 90.00, 90.00, 120.00 degrees
Element x y z (fractional)
Zr 0.0000 0.0000 0.0000
Zr 0.3333 0.6667 0.6667
Zr 0.6667 0.3333 0.3333
Co 0.0000 0.0000 0.2432
Co 0.0000 0.0000 0.5063
Co 0.3333 0.6667 0.1729
Co 0.3333 0.6667 0.9098
Co 0.6667 0.3333 0.5765
Co 0.6667 0.3333 0.8396
Os 0.0000 0.0000 0.7633
Os 0.3333 0.6667 0.4299
Os 0.6667 0.3333 0.0966

Results
Spin magnetization, μB per formula unit: 2.8
V, Å³/atom: 14.50
Formation enthalpy at 0 K, meV/atom: 319.4
D(E_F), states/eV per atom: 1.418

Entry 12:
Zr3CoOs: relaxed, PBE.

Cell lengths 4.7003, 4.7003, 4.7003 Å; angles 90.00, 90.00, 90.00 degrees
Element x y z (fractional)
Zr 0.0000 0.0000 0.5000
Zr 0.0000 0.5000 0.0000
Zr 0.5000 0.0000 0.0000
Co 0.0000 0.0000 0.0000
Os 0.5000 0.5000 0.5000

Results
Spin magnetization, μB per formula unit: 0.0
V, Å³/atom: 20.77
Formation enthalpy at 0 K, meV/atom: 490.2
D(E_F), states/eV per atom: 1.452

Entry 13:
Zr2Co3Os: relaxed, PBE.

Cell lengths 5.0080, 5.0080, 5.0080 Å; angles 59.43, 59.43, 59.43 degrees
Element x y z (fractional)
Zr 0.1246 0.1246 0.1246
Zr 0.8754 0.8754 0.8754
Co 0.0000 0.5000 0.5000
Co 0.5000 0.0000 0.5000
Co 0.5000 0.5000 0.0000
Os 0.5000 0.5000 0.5000

Results
Spin magnetization, μB per formula unit: 1.0
V, Å³/atom: 14.61
Formation enthalpy at 0 K, meV/atom: -340.2
D(E_F), states/eV per atom: 1.139

Entry 14:
ZrCoOs: relaxed, PBE.

Cell lengths 4.7693, 4.2211, 5.0742 Å; angles 90.00, 107.22, 90.00 degrees
Element x y z (fractional)
Zr 0.0596 0.2500 0.2639
Zr 0.9404 0.7500 0.7361
Co 0.3771 0.7500 0.5589
Co 0.6229 0.2500 0.4411
Os 0.4975 0.7500 0.1256
Os 0.5025 0.2500 0.8744

Results
Spin magnetization, μB per formula unit: 0.0
V, Å³/atom: 16.26
Formation enthalpy at 0 K, meV/atom: -169.2
D(E_F), states/eV per atom: 0.878

Entry 15:
ZrCoOs: relaxed, PBE.

Cell lengths 3.7265, 5.0843, 10.1090 Å; angles 90.00, 90.00, 90.00 degrees
Element x y z (fractional)
Zr 0.0000 0.0000 0.2020
Zr 0.0000 0.0000 0.7980
Zr 0.5000 0.5000 0.2980
Zr 0.5000 0.5000 0.7020
Co 0.0000 0.5000 0.1113
Co 0.0000 0.5000 0.8887
Co 0.5000 0.0000 0.3887
Co 0.5000 0.0000 0.6113
Os 0.0000 0.2599 0.5000
Os 0.0000 0.7401 0.5000
Os 0.5000 0.2401 0.0000
Os 0.5000 0.7599 0.0000

Results
Spin magnetization, μB per formula unit: 0.0
V, Å³/atom: 15.96
Formation enthalpy at 0 K, meV/atom: -188.6
D(E_F), states/eV per atom: 0.714

Entry 16:
Zr2CoOs: relaxed, PBE.

Cell lengths 2.9074, 2.9074, 28.5637 Å; angles 90.00, 90.00, 120.00 degrees
Element x y z (fractional)
Zr 0.0000 0.0000 0.0000
Zr 0.0000 0.0000 0.2327
Zr 0.3333 0.6667 0.6667
Zr 0.3333 0.6667 0.8994
Zr 0.6667 0.3333 0.3333
Zr 0.6667 0.3333 0.5660
Co 0.0000 0.0000 0.4858
Co 0.3333 0.6667 0.1525
Co 0.6667 0.3333 0.8192
Os 0.0000 0.0000 0.7524
Os 0.3333 0.6667 0.4190
Os 0.6667 0.3333 0.0857

Results
Spin magnetization, μB per formula unit: 1.8
V, Å³/atom: 17.42
Formation enthalpy at 0 K, meV/atom: 327.4
D(E_F), states/eV per atom: 1.638

Entry 17:
ZrCoOs: relaxed, PBE.

Cell lengths 9.2592, 4.1293, 5.0846 Å; angles 90.00, 90.27, 90.00 degrees
Element x y z (fractional)
Zr 0.0000 0.0000 0.0000
Zr 0.0701 0.5000 0.5030
Zr 0.5000 0.5000 0.0000
Zr 0.5701 0.0000 0.5030
Co 0.2057 0.5000 0.0253
Co 0.2881 0.0000 0.2375
Co 0.7057 0.0000 0.0253
Co 0.7881 0.5000 0.2375
Os 0.2876 0.0000 0.7647
Os 0.3540 0.5000 0.4858
Os 0.7876 0.5000 0.7647
Os 0.8540 0.0000 0.4858

Results
Spin magnetization, μB per formula unit: 0.9
V, Å³/atom: 16.20
Formation enthalpy at 0 K, meV/atom: -159.1
D(E_F), states/eV per atom: 1.242

Entry 18:
ZrCo2Os: relaxed, PBE.

Cell lengths 6.1820, 6.1820, 6.1820 Å; angles 90.00, 90.00, 90.00 degrees
Element x y z (fractional)
Zr 0.0000 0.0000 0.0000
Zr 0.0000 0.5000 0.5000
Zr 0.5000 0.0000 0.5000
Zr 0.5000 0.5000 0.0000
Co 0.0000 0.0000 0.5000
Co 0.0000 0.5000 0.0000
Co 0.2500 0.2500 0.7500
Co 0.2500 0.7500 0.2500
Co 0.5000 0.0000 0.0000
Co 0.5000 0.5000 0.5000
Co 0.7500 0.2500 0.2500
Co 0.7500 0.7500 0.7500
Os 0.2500 0.2500 0.2500
Os 0.2500 0.7500 0.7500
Os 0.7500 0.2500 0.7500
Os 0.7500 0.7500 0.2500

Results
Spin magnetization, μB per formula unit: 3.9
V, Å³/atom: 14.77
Formation enthalpy at 0 K, meV/atom: 93.0
D(E_F), states/eV per atom: 1.491

Entry 19:
ZrCoOs: relaxed, PBE.

Cell lengths 8.6432, 5.0843, 4.6370 Å; angles 90.00, 108.35, 90.00 degrees
Element x y z (fractional)
Zr 0.0000 0.0000 0.0000
Zr 0.1235 0.5000 0.7196
Zr 0.5000 0.5000 0.0000
Zr 0.6235 0.0000 0.7196
Co 0.0905 0.0000 0.5350
Co 0.3391 0.0000 0.9193
Co 0.5905 0.5000 0.5350
Co 0.8391 0.5000 0.9193
Os 0.3198 0.2488 0.3884
Os 0.3198 0.7512 0.3884
Os 0.8198 0.2512 0.3884
Os 0.8198 0.7488 0.3884

Results
Spin magnetization, μB per formula unit: 0.0
V, Å³/atom: 16.12
Formation enthalpy at 0 K, meV/atom: -104.5
D(E_F), states/eV per atom: 1.103

Entry 20:
Zr5Co2Os: relaxed, PBE.

Cell lengths 8.2789, 8.2789, 8.2789 Å; angles 132.91, 132.91, 68.79 degrees
Element x y z (fractional)
Zr 0.0000 0.0000 0.0000
Zr 0.0246 0.5246 0.8423
Zr 0.1823 0.0246 0.5000
Zr 0.3177 0.8177 0.8423
Zr 0.4754 0.3177 0.5000
Zr 0.5000 0.5000 0.0000
Zr 0.5246 0.6823 0.5000
Zr 0.6823 0.1823 0.1577
Zr 0.8177 0.9754 0.5000
Zr 0.9754 0.4754 0.1577
Co 0.1283 0.3717 0.5000
Co 0.3717 0.8717 0.2434
Co 0.6283 0.1283 0.7566
Co 0.8717 0.6283 0.5000
Os 0.2500 0.2500 0.0000
Os 0.7500 0.7500 0.0000

Results
Spin magnetization, μB per formula unit: 0.0
V, Å³/atom: 18.68
Formation enthalpy at 0 K, meV/atom: -308.6
D(E_F), states/eV per atom: 1.166